[1]
YFeH8Rh4: optimized geometry, PBE-GGA.

The density of states at the Fermi level comes out at 0.410 states/eV per atom. The calculation puts the total energy at -73.56 eV/f.u.

```
data_YFeH8Rh4
_chemical_formula_sum 'Y3 Fe3 H24 Rh12'
_symmetry_space_group_name_H-M 'R 3 m'
_symmetry_Int_Tables_number 160
_symmetry_space_group_name_Hall 'R 3 -2"'
_cell_length_a 5.6544
_cell_length_b 5.6544
_cell_length_c 13.3097
_cell_angle_alpha 90.00
_cell_angle_beta 90.00
_cell_angle_gamma 120.00
loop_
_atom_site_label
_atom_site_fract_x
_atom_site_fract_y
_atom_site_fract_z
Y1 0.0000 0.0000 0.0000
Fe1 0.0000 0.0000 0.6085
H1 0.0000 0.0000 0.3767
H2 0.0000 0.0000 0.8385
H3 0.0915 0.5457 0.3703
H4 0.1704 0.3407 0.1930
Rh1 0.0000 0.0000 0.2439
Rh2 0.0030 0.5015 0.1176
```

=====

[2]
Tm2Hf2N3: optimized geometry, PBE-GGA.

The density of states at the Fermi level comes out at 0.303 states/eV per atom. The calculation puts the total energy at -64.76 eV/f.u.

```
data_Tm2Hf2N3
_chemical_formula_sum 'Tm4 Hf4 N6'
_symmetry_space_group_name_H-M 'C 1 2/m 1'
_symmetry_Int_Tables_number 12
_cell_length_a 11.267
_cell_length_b 3.339
_cell_length_c 5.664
_cell_angle_alpha 90.00
_cell_angle_beta 104.79
_cell_angle_gamma 90.00
loop_
_symmetry_equiv_pos_as_xyz
'x,y,z'
'-x,-y,-z'
'-x,y,-z'
'x,-y,z'
'x+1/2,y+1/2,z'
'-x+1/2,-y+1/2,-z'
'-x+1/2,y+1/2,-z'
'x+1/2,-y+1/2,z'
loop_
_atom_site_label
_atom_site_fract_x
_atom_site_fract_y
_atom_site_fract_z
Tm1 0.121 0.000 0.357
Hf1 0.138 0.500 0.853
N1 0.000 0.500 0.500
N2 0.249 0.000 0.758
```

=====

[3]
KBaCd2Hg2: optimized geometry, PBE-GGA.

The density of states at the Fermi level comes out at 0.722 states/eV per atom. The energy of formation comes out at -0.288 eV per atom.

```
data_KBaCd2Hg2
_chemical_formula_sum 'K1 Ba1 Cd2 Hg2'
_symmetry_space_group_name_H-M 'P -3 m 1'
_symmetry_Int_Tables_number 164
_symmetry_space_group_name_Hall '-P 3 2"'
_cell_length_a 5.1773
_cell_length_b 5.1773
_cell_length_c 8.8087
_cell_angle_alpha 90.00
_cell_angle_beta 90.00
_cell_angle_gamma 120.00
loop_
_atom_site_label
_atom_site_fract_x
_atom_site_fract_y
_atom_site_fract_z
K1 0.0000 0.0000 0.0000
Ba1 0.0000 0.0000 0.5000
Cd1 0.3333 0.6667 0.7435
Hg1 0.3333 0.6667 0.2648
```

=====

[4]
K2ZrAg: optimized geometry, PBE-GGA.

The relative energy among the computed polymorphs comes out at 0.251 eV per atom. The density of states at the Fermi level comes out at 0.765 states/eV per atom. The energy of formation comes out at 0.644 eV per atom.

```
data_K2ZrAg
_chemical_formula_sum 'K2 Zr1 Ag1'
_symmetry_space_group_name_H-M 'P 4/m m m'
_symmetry_Int_Tables_number 123
_symmetry_space_group_name_Hall '-P 4 2'
_cell_length_a 3.229
_cell_length_b 3.229
_cell_length_c 11.953
_cell_angle_alpha 90.00
_cell_angle_beta 90.00
_cell_angle_gamma 90.00
loop_
_atom_site_label
_atom_site_fract_x
_atom_site_fract_y
_atom_site_fract_z
K1 0.000 0.000 0.220
Zr1 0.500 0.500 0.500
Ag1 0.500 0.500 0.000
```

=====

[5]
Mn2BeTc: optimized geometry, PBE-GGA.

The density of states at the Fermi level comes out at 1.657 states/eV per atom. The energy of formation comes out at 0.037 eV per atom.

```
data_Mn2BeTc
_chemical_formula_sum 'Mn8 Be4 Tc4'
_symmetry_space_group_name_H-M 'F -4 3 m'
_symmetry_Int_Tables_number 216
_symmetry_space_group_name_Hall 'F -4 2 3'
_cell_length_a 5.712
_cell_length_b 5.712
_cell_length_c 5.712
_cell_angle_alpha 90.00
_cell_angle_beta 90.00
_cell_angle_gamma 90.00
loop_
_atom_site_label
_atom_site_fract_x
_atom_site_fract_y
_atom_site_fract_z
Mn1 0.000 0.000 0.000
Mn2 0.250 0.250 0.250
Be1 0.000 0.000 0.500
Tc1 0.250 0.250 0.750
```

=====

[6]
ZnBiRh: optimized geometry, PBE-GGA.

The density of states at the Fermi level comes out at 0.322 states/eV per atom. The energy of formation comes out at -0.096 eV per atom.

```
data_ZnBiRh
_chemical_formula_sum 'Zn2 Bi2 Rh2'
_symmetry_space_group_name_H-M 'I 4 m m'
_symmetry_Int_Tables_number 107
_symmetry_space_group_name_Hall 'I 4 -2'
_cell_length_a 3.234
_cell_length_b 3.234
_cell_length_c 11.590
_cell_angle_alpha 90.00
_cell_angle_beta 90.00
_cell_angle_gamma 90.00
loop_
_atom_site_label
_atom_site_fract_x
_atom_site_fract_y
_atom_site_fract_z
Zn1 0.000 0.000 0.000
Bi1 0.000 0.000 0.731
Rh1 0.000 0.000 0.388
```